[1]
VASP calculation (GGA-PBE) on a relaxed structure of In3AgN.

Lattice parameters (Å, degrees): 5.2390 5.2390 5.2390 90.00 90.00 90.00
Element x y z (fractional)
N 0.5000 0.5000 0.5000
Ag 0.0000 0.0000 0.0000
In 0.0000 0.5000 0.0000
In 0.0000 0.0000 0.5000
In 0.5000 0.0000 0.0000

## Properties
The total energy comes out at -2.60 eV/atom. As for the formation energy from raw total energies: 1.28 eV/atom.

[2]
VASP calculation (GGA-PBE) on a relaxed structure of InAgN2.

Lattice parameters (Å, degrees): 6.6560 6.6560 6.6560 29.05 29.05 29.05
Element x y z (fractional)
N 0.8940 0.8940 0.8940
N 0.1060 0.1060 0.1060
Ag 0.0000 0.0000 0.0000
In 0.5000 0.5000 0.5000

## Properties
The total energy comes out at -4.54 eV/atom. As for the formation energy from raw total energies: 1.02 eV/atom.

[3]
VASP calculation (GGA-PBE) on a relaxed structure of InAgPtN2.

Lattice parameters (Å, degrees): 4.1915 5.3902 4.1915 90.00 90.00 90.00
Each line ends with the local moment (μB).
Element x y z (fractional)
N 0.0000 0.0000 0.5000  0.96
N 0.5000 0.0000 0.0000  1.08
Ag 0.5000 0.5000 0.5000  0.00
Pt 0.0000 0.5000 0.0000  0.28
In 0.0000 0.0000 0.0000  -0.02

## Properties
The total energy comes out at -3.92 eV/atom. As for the formation energy from raw total energies: 1.73 eV/atom.

[4]
VASP calculation (GGA-PBE) on a relaxed structure of InAgS2N.

Lattice parameters (Å, degrees): 5.2419 5.2419 4.2303 90.00 90.00 90.00
Each line ends with the local moment (μB).
Element x y z (fractional)
S 0.0000 0.5000 0.0000  0.40
S 0.5000 0.0000 0.0000  0.40
N 0.0000 0.0000 0.5000  1.17
Ag 0.5000 0.5000 0.5000  0.06
In 0.0000 0.0000 0.0000  -0.02

## Properties
The total energy comes out at -3.46 eV/atom. As for the formation energy from raw total energies: 0.97 eV/atom.

[5]
VASP calculation (GGA-PBE) on a relaxed structure of InAgS2N.

Lattice parameters (Å, degrees): 5.0469 5.0469 3.9658 90.00 90.00 90.00
Each line ends with the local moment (μB).
Element x y z (fractional)
S 0.0000 0.5000 0.0000  0.07
S 0.5000 0.0000 0.0000  0.07
N 0.0000 0.0000 0.5000  1.09
Ag 0.0000 0.0000 0.0000  0.12
In 0.5000 0.5000 0.5000  0.00

## Properties
The total energy comes out at -3.46 eV/atom. As for the formation energy from raw total energies: 0.97 eV/atom.

[6]
VASP calculation (GGA-PBE) on a relaxed structure of InAgSe2N.

Lattice parameters (Å, degrees): 5.3773 5.3773 3.9663 90.00 90.00 90.00
Each line ends with the local moment (μB).
Element x y z (fractional)
N 0.0000 0.0000 0.5000  1.05
Se 0.0000 0.5000 0.0000  0.10
Se 0.5000 0.0000 0.0000  0.10
Ag 0.0000 0.0000 0.0000  0.11
In 0.5000 0.5000 0.5000  -0.01

## Properties
The total energy comes out at -3.29 eV/atom. As for the formation energy from raw total energies: 0.89 eV/atom.